Record 1
This record from the Open Quantum Materials Database describes crystalline SrAsOsO at its relaxed geometry. The functional is PBE.

Cell lengths 4.0917, 4.0917, 9.4843 Å; angles 90.00, 90.00, 90.00 degrees
Closest atoms and distances in Å follow each position.
Element x y z (fractional)
Sr (0.2500, 0.2500, 0.1252)  4 O 2.37
Sr (0.7500, 0.7500, 0.8748)  4 O 2.37
As (0.2500, 0.2500, 0.6478)  4 Os 2.48
As (0.7500, 0.7500, 0.3522)  4 Os 2.48
Os (0.2500, 0.7500, 0.5000)  4 As 2.48
Os (0.7500, 0.2500, 0.5000)  4 As 2.48
O (0.2500, 0.7500, 0.0000)  4 Sr 2.37
O (0.7500, 0.2500, 0.0000)  4 Sr 2.37

Computed properties:
- E_tot (eV/atom) = -6.65
- V (Å³/atom) = 19.8
- ΔE to the lowest computed polymorph (meV per atom) = 0.0

=====

Record 2
This record from the Open Quantum Materials Database describes crystalline ZrFeAsPd at its relaxed geometry. The functional is PBE.

Cell lengths 4.5271, 4.5271, 4.5271 Å; angles 60.00, 60.00, 60.00 degrees
Closest atoms and distances in Å follow each position.
Element x y z (fractional)
Zr (0.0000, 0.0000, 0.0000)  4 As 2.77, 4 Pd 2.77
Fe (0.5000, 0.5000, 0.5000)  4 Pd 2.77, 4 As 2.77
As (0.2500, 0.2500, 0.2500)  4 Fe 2.77, 4 Zr 2.77
Pd (0.7500, 0.7500, 0.7500)  4 Fe 2.77, 4 Zr 2.77

Computed properties:
- E_tot (eV/atom) = -7.00
- V (Å³/atom) = 16.4
- ΔE to the lowest computed polymorph (meV per atom) = 0.0

=====

Record 3
This record from the Open Quantum Materials Database describes crystalline Pr4I4O3 at its relaxed geometry. The functional is PBE.

Cell lengths 4.0726, 8.1577, 9.3525 Å; angles 90.00, 90.00, 90.00 degrees
Closest atoms and distances in Å follow each position.
Element x y z (fractional)
Pr (0.0000, 0.0000, 0.0000)  4 O 2.35-2.41
Pr (0.0000, 0.5000, 0.0070)  2 O 2.35
Pr (0.5000, 0.2477, 0.7430)  3 O 2.37
Pr (0.5000, 0.7523, 0.7430)  3 O 2.37
I (0.0000, 0.0000, 0.5405)  4 Pr 3.44, 4 O 3.73-3.75
I (0.0000, 0.5000, 0.5525)  4 Pr 3.40, 2 O 3.59
I (0.5000, 0.2510, 0.2020)  4 Pr 3.41-3.45, 3 O 3.68-3.69
I (0.5000, 0.7490, 0.2020)  4 Pr 3.41-3.45, 3 O 3.68-3.69
O (0.0000, 0.2568, 0.8729)  4 Pr 2.35-2.41
O (0.0000, 0.7432, 0.8729)  4 Pr 2.35-2.41
O (0.5000, 0.0000, 0.8747)  4 Pr 2.35-2.37

Computed properties:
- E_tot (eV/atom) = -6.00
- V (Å³/atom) = 28.2

=====

Record 4
This record from the Open Quantum Materials Database describes crystalline KPaAsO at its relaxed geometry. The functional is PBE.

Cell lengths 4.0857, 4.0857, 10.3949 Å; angles 90.00, 90.00, 90.00 degrees
Closest atoms and distances in Å follow each position.
Element x y z (fractional)
K (0.2500, 0.7500, 0.0000)  4 K 2.89, 4 As 3.20
K (0.7500, 0.2500, 0.0000)  4 K 2.89, 4 As 3.20
Pa (0.2500, 0.2500, 0.3765)  4 O 2.41
Pa (0.7500, 0.7500, 0.6235)  4 O 2.41
As (0.2500, 0.2500, 0.7632)  4 K 3.20, 4 Pa 3.23, 4 O 3.41
As (0.7500, 0.7500, 0.2368)  4 K 3.20, 4 Pa 3.23, 4 O 3.41
O (0.2500, 0.7500, 0.5000)  4 Pa 2.41
O (0.7500, 0.2500, 0.5000)  4 Pa 2.41

Computed properties:
- E_tot (eV/atom) = -6.14
- V (Å³/atom) = 21.7
- ΔE to the lowest computed polymorph (meV per atom) = 0.0